This record from Alexandria via LeMat-Bulk describes an optimized crystal structure of NpNi2Ag2O6. The functional is PBE+U.

Geometry as CIF:
```
data_NpNi2Ag2O6
_space_group_name_H-M_alt 'C 1 2/m 1'
_space_group_IT_number 12
_space_group_name_Hall '-C 2y'
_cell_length_a 5.470
_cell_length_b 9.213
_cell_length_c 6.255
_cell_angle_alpha 90.00
_cell_angle_beta 109.45
_cell_angle_gamma 90.00
loop_
_atom_site_label
_atom_site_fract_x
_atom_site_fract_y
_atom_site_fract_z
Np1 0.000 0.000 0.000
Ni1 0.000 0.335 0.000
Ag1 0.000 0.317 0.500
O1 0.098 0.167 0.818
O2 0.098 0.500 0.809
```

Properties
- Total magnetic moment: 10.000 μB/cell
- Crystal system: monoclinic
- V: 13.51 Å³/atom
- Total energy: -6.24 eV/atom